# 1
VASP calculation (PBE) on a relaxed Dy2Zn2GePd5 crystal. Values from VASP.

- DOS(E_F) (states/eV per atom) = 0.457
- formation energy from the elements (meV/atom) = -662
- symmetry = P4/mbm (127)

Quantum ESPRESSO input file:
```
&SYSTEM
  ibrav = 0, nat = 20, ntyp = 4
/
ATOMIC_SPECIES
Dy 162.50 Dy.upf
Zn 65.41 Zn.upf
Ge 72.64 Ge.upf
Pd 106.42 Pd.upf
ATOMIC_POSITIONS angstrom
Dy 1.713 3.146 0.000
Dy 3.146 8.004 0.000
Dy 6.571 1.713 0.000
Dy 8.004 6.571 0.000
Zn 1.182 6.041 0.000
Zn 3.676 1.182 0.000
Zn 6.041 8.534 0.000
Zn 8.534 3.676 0.000
Ge 0.000 0.000 0.000
Ge 4.858 4.858 0.000
Pd 0.000 4.858 1.862
Pd 0.634 7.750 1.862
Pd 1.967 0.634 1.862
Pd 2.891 5.492 1.862
Pd 4.224 2.891 1.862
Pd 4.858 0.000 1.862
Pd 5.492 6.825 1.862
Pd 6.825 4.224 1.862
Pd 7.750 9.083 1.862
Pd 9.083 1.967 1.862
CELL_PARAMETERS angstrom
9.717 0.000 0.000
0.000 9.717 0.000
0.000 0.000 3.724
```

# 2
VASP calculation (PBE) on a relaxed DyZnGe2Pd crystal. Values from VASP.

- DOS(E_F) (states/eV per atom) = 0.207
- formation energy from the elements (meV/atom) = -633
- symmetry = I-4m2 (119)

Quantum ESPRESSO input file:
```
&SYSTEM
  ibrav = 0, nat = 5, ntyp = 4
/
ATOMIC_SPECIES
Dy 162.50 Dy.upf
Zn 65.41 Zn.upf
Ge 72.64 Ge.upf
Pd 106.42 Pd.upf
ATOMIC_POSITIONS angstrom
Dy 0.000 0.000 0.000
Zn 2.057 0.000 2.704
Ge 0.000 0.000 4.185
Ge 0.000 0.000 6.630
Pd 0.000 2.057 2.704
CELL_PARAMETERS angstrom
-2.057 2.057 5.408
2.057 -2.057 5.408
2.057 2.057 -5.408
```

# 3
VASP calculation (PBE) on a relaxed DyZnGePd crystal. Values from VASP.

- DOS(E_F) (states/eV per atom) = 0.829
- formation energy from the elements (meV/atom) = -534
- symmetry = F-43m (216)

Quantum ESPRESSO input file:
```
&SYSTEM
  ibrav = 0, nat = 4, ntyp = 4
/
ATOMIC_SPECIES
Dy 162.50 Dy.upf
Zn 65.41 Zn.upf
Ge 72.64 Ge.upf
Pd 106.42 Pd.upf
ATOMIC_POSITIONS angstrom
Dy 0.000 0.000 0.000
Zn 1.656 1.656 1.656
Ge 4.968 4.968 4.968
Pd 3.312 3.312 3.312
CELL_PARAMETERS angstrom
0.000 3.312 3.312
3.312 0.000 3.312
3.312 3.312 0.000
```